Version 1
The following is a DFT calculation (GGA-PBE) of crystalline CaC5 at its relaxed geometry.

**Total moment**: 0.00 μB/f.u.
**Space group**: P4/mmm

a b c (Å): 3.3061 3.3061 6.0753
angles (deg): 90.00 90.00 90.00
Sites, in units of the cell vectors:
C1 0.0000 0.0000 0.7210
C2 0.5000 0.5000 0.3879
C3 0.5000 0.5000 0.6121
Ca1 0.5000 0.5000 0.0000
C4 0.0000 0.0000 0.5000
C5 0.0000 0.0000 0.2790

Version 2
The following is a DFT calculation (GGA-PBE) of crystalline CaC5 at its relaxed geometry.

**Total moment**: 1.53 μB/f.u.
**Space group**: Amm2

a b c (Å): 9.0193 9.0193 3.7965
angles (deg): 90.00 90.00 163.40
Sites, in units of the cell vectors:
C1 0.1293 0.8707 0.0000
C2 0.8148 0.1852 0.5000
C3 0.3498 0.6502 0.5000
C4 0.6225 0.3775 0.0000
C5 0.4305 0.5695 0.5000
Ca1 0.9863 0.0137 0.0000

Quick one: least stable of them? version 1

Version 1
The following is a DFT calculation (GGA-PBE) of crystalline CaC5 at its relaxed geometry.

**Total moment**: 0.00 μB/f.u.
**Space group**: Amm2

a b c (Å): 8.4866 8.4866 3.3373
angles (deg): 66.84 66.84 17.21
Sites, in units of the cell vectors:
C1 0.6793 0.6793 0.2528
C2 0.5864 0.5864 0.4384
C3 0.2262 0.2262 0.1590
C4 0.0382 0.0382 0.5346
Ca1 0.3552 0.3552 0.4006
C5 0.9480 0.9480 0.7147

Version 2
The following is a DFT calculation (GGA-PBE) of crystalline CaC5 at its relaxed geometry.

**Total moment**: 0.02 μB/f.u.
**Space group**: F-43m

a b c (Å): 4.5027 4.5027 4.5027
angles (deg): 60.00 60.00 60.00
Sites, in units of the cell vectors:
C1 0.2500 0.2500 0.2500
C2 0.5865 0.5865 0.2405
C3 0.5865 0.5865 0.5865
C4 0.5865 0.2405 0.5865
Ca1 0.0000 0.0000 0.0000
C5 0.2405 0.5865 0.5865

Version 3
The following is a DFT calculation (GGA-PBE) of crystalline CaC5 at its relaxed geometry.

**Total moment**: 0.00 μB/f.u.
**Space group**: P6/mmm

a b c (Å): 4.7455 4.7455 2.5137
angles (deg): 90.00 90.00 120.00
Sites, in units of the cell vectors:
C1 0.5000 0.0000 0.0000
C2 0.6667 0.3333 0.5000
C3 0.0000 0.5000 0.0000
C4 0.3333 0.6667 0.5000
C5 0.5000 0.5000 0.0000
Ca1 0.0000 0.0000 0.5000

Quick one: least stable of them? version 3

Version 1
The following is a DFT calculation (GGA-PBE) of crystalline Ca4C at its relaxed geometry.

**Total moment**: 0.60 μB/f.u.
**Space group**: P-3m1

a b c (Å): 3.8084 3.8084 13.7773
angles (deg): 90.00 90.00 120.00
Sites, in units of the cell vectors:
Ca1 0.6667 0.3333 0.0935
C1 0.0000 0.0000 0.0000
Ca2 0.3333 0.6667 0.9065
Ca3 0.3333 0.6667 0.6156
Ca4 0.6667 0.3333 0.3844

Version 2
The following is a DFT calculation (GGA-PBE) of crystalline Ca4C at its relaxed geometry.

**Total moment**: 0.00 μB/f.u.
**Space group**: Im-3m

a b c (Å): 5.5966 5.5966 5.5966
angles (deg): 109.47 109.47 109.47
Sites, in units of the cell vectors:
Ca1 0.5000 0.5000 0.5000
Ca2 0.0000 0.0000 0.5000
Ca3 0.5000 0.0000 0.0000
Ca4 0.0000 0.5000 0.0000
C1 0.0000 0.0000 0.0000

Version 3
The following is a DFT calculation (GGA-PBE) of crystalline Ca4C at its relaxed geometry.

**Total moment**: 0.72 μB/f.u.
**Space group**: I4/mmm

a b c (Å): 10.0097 10.0097 10.0097
angles (deg): 156.60 156.60 33.32
Sites, in units of the cell vectors:
Ca1 0.7500 0.2500 0.5000
Ca2 0.4226 0.4226 0.0000
Ca3 0.2500 0.7500 0.5000
Ca4 0.5774 0.5774 0.0000
C1 0.0000 0.0000 0.0000

Version 4
The following is a DFT calculation (GGA-PBE) of crystalline Ca4C at its relaxed geometry.

**Total moment**: 0.00 μB/f.u.
**Space group**: I4/m

a b c (Å): 6.7295 6.7295 6.7295
angles (deg): 93.54 93.54 151.20
Sites, in units of the cell vectors:
Ca1 0.5433 0.7271 0.2704
Ca2 0.2729 0.5433 0.8161
Ca3 0.4567 0.2729 0.7296
C1 0.0000 0.0000 0.0000
Ca4 0.7271 0.4567 0.1839

Quick one: least stable of them? version 3

Version 1
The following is a DFT calculation (GGA-PBE) of crystalline Ca3C2 at its relaxed geometry.

**Total moment**: 1.85 μB/f.u.
**Space group**: P-3m1

a b c (Å): 4.3734 4.3734 5.7037
angles (deg): 90.00 90.00 120.00
Sites, in units of the cell vectors:
C1 0.6667 0.3333 0.2105
Ca1 0.3333 0.6667 0.3160
C2 0.3333 0.6667 0.7895
Ca2 0.0000 0.0000 0.0000
Ca3 0.6667 0.3333 0.6840

Version 2
The following is a DFT calculation (GGA-PBE) of crystalline Ca3C2 at its relaxed geometry.

**Total moment**: 2.09 μB/f.u.
**Space group**: R-3m

a b c (Å): 9.7448 9.7448 9.7448
angles (deg): 22.37 22.37 22.37
Sites, in units of the cell vectors:
Ca1 0.7659 0.7659 0.7659
C1 0.6073 0.6073 0.6073
Ca2 0.0000 0.0000 0.0000
C2 0.3927 0.3927 0.3927
Ca3 0.2341 0.2341 0.2341

Quick one: least stable of them? version 2

Version 1
The following is a DFT calculation (GGA-PBE) of crystalline Ca3CdC at its relaxed geometry.

**Total moment**: 0.00 μB/f.u.
**Space group**: Pm-3m

a b c (Å): 5.1170 5.1170 5.1170
angles (deg): 90.00 90.00 90.00
Sites, in units of the cell vectors:
Ca1 0.0000 0.0000 0.5000
Cd1 0.5000 0.5000 0.5000
C1 0.0000 0.0000 0.0000
Ca2 0.5000 0.0000 0.0000
Ca3 0.0000 0.5000 0.0000

Version 2
The following is a DFT calculation (GGA-PBE) of crystalline Ca3CdC at its relaxed geometry.

**Total moment**: 0.00 μB/f.u.
**Space group**: P-1

a b c (Å): 3.8837 7.3783 10.5473
angles (deg): 95.49 81.22 105.01
Sites, in units of the cell vectors:
Ca1 0.3337 0.3800 0.6704
Ca2 0.7362 0.5954 0.9623
C1 0.5880 0.7347 0.7355
Ca3 0.5573 0.0416 0.8837
Cd1 0.8389 0.1596 0.4593
Ca4 0.5691 0.4739 0.3183
C2 0.3030 0.6868 0.8186
Ca5 0.1548 0.8261 0.5918
Ca6 0.3219 0.9477 0.2358
Cd2 0.0521 0.2620 0.0947

Quick one: least stable of them? version 1

Version 1
The following is a DFT calculation (GGA-PBE) of crystalline CaCd2C2 at its relaxed geometry.

**Total moment**: 0.00 μB/f.u.
**Space group**: I4/mmm

a b c (Å): 3.9223 3.9223 7.0872
angles (deg): 73.94 73.94 90.00
Sites, in units of the cell vectors:
Ca1 0.0000 0.0000 0.0000
Cd1 0.2500 0.7500 0.5000
Cd2 0.7500 0.2500 0.5000
C1 0.5491 0.5491 0.9019
C2 0.4509 0.4509 0.0981

Version 2
The following is a DFT calculation (GGA-PBE) of crystalline CaCd2C2 at its relaxed geometry.

**Total moment**: 0.00 μB/f.u.
**Space group**: P4/mbm

a b c (Å): 7.0075 7.0075 3.2974
angles (deg): 90.00 90.00 90.00
Sites, in units of the cell vectors:
Cd1 0.1404 0.6404 0.5000
C1 0.6665 0.1665 0.0000
C2 0.8335 0.6665 0.0000
Cd2 0.8596 0.3596 0.5000
Ca1 0.0000 0.0000 0.0000
C3 0.3335 0.8335 0.0000
Ca2 0.5000 0.5000 0.0000
Cd3 0.6404 0.8596 0.5000
C4 0.1665 0.3335 0.0000
Cd4 0.3596 0.1404 0.5000

Quick one: least stable of them? version 2

Version 1
The following is a DFT calculation (GGA-PBE) of crystalline Ca2CdOsC at its relaxed geometry.

**Total moment**: 0.00 μB/f.u.
**Space group**: P4/mmm

a b c (Å): 5.1596 5.1596 3.9188
angles (deg): 90.00 90.00 90.00
Sites, in units of the cell vectors:
Cd1 0.5000 0.5000 0.5000
Ca1 0.0000 0.5000 0.0000
Os1 0.0000 0.0000 0.5000
Ca2 0.5000 0.0000 0.0000
C1 0.0000 0.0000 0.0000

Version 2
The following is a DFT calculation (GGA-PBE) of crystalline Ca2CdOsC at its relaxed geometry.

**Total moment**: 1.78 μB/f.u.
**Space group**: P4/mmm

a b c (Å): 5.7116 3.8491 5.7116
angles (deg): 90.00 90.00 90.00
Sites, in units of the cell vectors:
Os1 0.5000 0.5000 0.5000
Ca1 0.0000 0.0000 0.5000
Ca2 0.5000 0.0000 0.0000
Cd1 0.0000 0.0000 0.0000
C1 0.0000 0.5000 0.0000

Quick one: least stable of them? version 2

Version 1
The following is a DFT calculation (GGA-PBE) of crystalline CaC2Cl at its relaxed geometry.

**Total moment**: 0.00 μB/f.u.
**Space group**: I-42d

a b c (Å): 5.9295 5.9295 5.3665
angles (deg): 56.46 56.46 90.00
Sites, in units of the cell vectors:
C1 0.5399 0.1250 0.2500
Ca1 0.7500 0.2500 0.5000
Cl1 0.5000 0.5000 0.0000
C2 0.3750 0.4601 0.7500
Ca2 0.0000 0.0000 0.0000
Cl2 0.2500 0.7500 0.5000
C3 0.8750 0.7899 0.7500
C4 0.2101 0.6250 0.2500

Version 2
The following is a DFT calculation (GGA-PBE) of crystalline CaC2Cl at its relaxed geometry.

**Total moment**: 0.00 μB/f.u.
**Space group**: Fm-3m

a b c (Å): 4.3968 4.3968 4.3968
angles (deg): 60.00 60.00 60.00
Sites, in units of the cell vectors:
Cl1 0.0000 0.0000 0.0000
C1 0.2500 0.2500 0.2500
C2 0.7500 0.7500 0.7500
Ca1 0.5000 0.5000 0.5000

Quick one: least stable of them? version 2

Version 1
The following is a DFT calculation (GGA-PBE) of crystalline CaCCl3 at its relaxed geometry.

**Total moment**: 1.00 μB/f.u.
**Space group**: Pm-3m

a b c (Å): 5.3573 5.3573 5.3573
angles (deg): 90.00 90.00 90.00
Sites, in units of the cell vectors:
Cl1 0.0000 0.0000 0.5000
Cl2 0.5000 0.0000 0.0000
Cl3 0.0000 0.5000 0.0000
Ca1 0.0000 0.0000 0.0000
C1 0.5000 0.5000 0.5000

Version 2
The following is a DFT calculation (GGA-PBE) of crystalline CaCCl3 at its relaxed geometry.

**Total moment**: 0.00 μB/f.u.
**Space group**: Pm-3m

a b c (Å): 4.5875 4.5875 4.5875
angles (deg): 90.00 90.00 90.00
Sites, in units of the cell vectors:
Cl1 0.0000 0.5000 0.0000
Cl2 0.5000 0.0000 0.0000
Cl3 0.0000 0.0000 0.5000
Ca1 0.5000 0.5000 0.5000
C1 0.0000 0.0000 0.0000

Quick one: least stable of them? version 1

Version 1
The following is a DFT calculation (GGA-PBE) of crystalline CaPCCl2 at its relaxed geometry.

**Total moment**: 2.21 μB/f.u.
**Space group**: P4/mmm

a b c (Å): 5.1629 5.1629 5.9443
angles (deg): 90.00 90.00 90.00
Sites, in units of the cell vectors:
Cl1 0.0000 0.5000 0.0000
Cl2 0.5000 0.0000 0.0000
P1 0.0000 0.0000 0.5000
C1 0.5000 0.5000 0.5000
Ca1 0.0000 0.0000 0.0000

Version 2
The following is a DFT calculation (GGA-PBE) of crystalline CaPCCl2 at its relaxed geometry.

**Total moment**: 0.00 μB/f.u.
**Space group**: P4/mmm

a b c (Å): 5.4817 5.4817 3.4886
angles (deg): 90.00 90.00 90.00
Sites, in units of the cell vectors:
Ca1 0.5000 0.5000 0.5000
C1 0.0000 0.0000 0.0000
Cl1 0.5000 0.0000 0.0000
P1 0.0000 0.0000 0.5000
Cl2 0.0000 0.5000 0.0000

Quick one: least stable of them? version 1

Version 1
The following is a DFT calculation (GGA-PBE) of crystalline CaCSCl2 at its relaxed geometry.

**Total moment**: 0.00 μB/f.u.
**Space group**: P4/mmm

a b c (Å): 4.6649 4.6649 4.1910
angles (deg): 90.00 90.00 90.00
Sites, in units of the cell vectors:
Cl1 0.0000 0.5000 0.0000
S1 0.0000 0.0000 0.5000
Cl2 0.5000 0.0000 0.0000
Ca1 0.5000 0.5000 0.5000
C1 0.0000 0.0000 0.0000

Version 2
The following is a DFT calculation (GGA-PBE) of crystalline CaCSCl2 at its relaxed geometry.

**Total moment**: 0.51 μB/f.u.
**Space group**: P4/mmm

a b c (Å): 5.1543 5.1543 5.6353
angles (deg): 90.00 90.00 90.00
Sites, in units of the cell vectors:
Cl1 0.0000 0.5000 0.0000
C1 0.5000 0.5000 0.5000
S1 0.0000 0.0000 0.5000
Cl2 0.5000 0.0000 0.0000
Ca1 0.0000 0.0000 0.0000

Quick one: least stable of them? version 2

Version 1
The following is a DFT calculation (GGA-PBE) of crystalline Ca2CoCSe at its relaxed geometry.

**Total moment**: 0.63 μB/f.u.
**Space group**: P4/mmm

a b c (Å): 5.1090 5.1090 3.6502
angles (deg): 90.00 90.00 90.00
Sites, in units of the cell vectors:
Ca1 0.0000 0.5000 0.0000
Se1 0.5000 0.5000 0.5000
Ca2 0.5000 0.0000 0.0000
Co1 0.0000 0.0000 0.5000
C1 0.0000 0.0000 0.0000

Version 2
The following is a DFT calculation (GGA-PBE) of crystalline Ca2CoCSe at its relaxed geometry.

**Total moment**: 2.04 μB/f.u.
**Space group**: P4/mmm

a b c (Å): 5.3007 4.2182 5.3007
angles (deg): 90.00 90.00 90.00
Sites, in units of the cell vectors:
Ca1 0.5000 0.0000 0.0000
Co1 0.0000 0.0000 0.0000
Se1 0.0000 0.5000 0.0000
C1 0.5000 0.5000 0.5000
Ca2 0.0000 0.0000 0.5000

Quick one: least stable of them? version 2